Record 1
First-principles (PBE) data for a geometry-optimized Pr2PuSc structure, as listed in the Alexandria database.

Output
* offset from the most stable computed form: 31 meV/atom
* formation enthalpy at 0 K: 0.165 eV/atom
* E: -7.39 eV per atom
* space-group type: R3m, No. 160

Lattice parameters (Å, degrees): 11.6228 11.6228 11.6228 17.49 17.49 17.49
Fractional coordinates of all 4 atoms:
Pr: 0.0000 0.0000 0.0000
Pr: 0.1618 0.1618 0.1618
Pu: 0.5817 0.5817 0.5817
Sc: 0.4142 0.4142 0.4142


Record 2
First-principles (PBE) data for a geometry-optimized Cs3TcB structure, as listed in the Alexandria database.

Output
* formation enthalpy at 0 K: 1.935 eV/atom
* E: -1.99 eV per atom
* space-group type: Pm-3m, No. 221

Lattice parameters (Å, degrees): 5.8790 5.8790 5.8790 90.00 90.00 90.00
Fractional coordinates of all 5 atoms:
Cs: 0.0000 0.0000 0.5000
Cs: 0.0000 0.5000 0.0000
Cs: 0.5000 0.0000 0.0000
Tc: 0.0000 0.0000 0.0000
B: 0.5000 0.5000 0.5000


Record 3
First-principles (PBE) data for a geometry-optimized KCeSiS4 structure, as listed in the Alexandria database.

Output
* E: -5.53 eV per atom
* space-group type: P2_1, No. 4

Lattice parameters (Å, degrees): 6.5892 6.7141 8.7973 90.00 107.14 90.00
Fractional coordinates of all 14 atoms:
K: 0.2264 0.0000 0.4328
K: 0.7736 0.5000 0.5672
Ce: 0.2705 0.0215 0.9493
Ce: 0.7295 0.5215 0.0507
Si: 0.2810 0.4880 0.1802
Si: 0.7190 0.9880 0.8198
S: 0.0855 0.4884 0.3320
S: 0.0950 0.4441 0.9380
S: 0.4725 0.7510 0.2098
S: 0.4873 0.7552 0.7725
S: 0.5127 0.2552 0.2275
S: 0.5275 0.2510 0.7902
S: 0.9050 0.9441 0.0620
S: 0.9145 0.9884 0.6680


Record 4
First-principles (PBE) data for a geometry-optimized Ca3WAu structure, as listed in the Alexandria database.

Output
* offset from the most stable computed form: 180 meV/atom
* formation enthalpy at 0 K: 0.941 eV/atom
* E: -3.51 eV per atom
* space-group type: Pm-3m, No. 221

Lattice parameters (Å, degrees): 5.4372 5.4372 5.4372 90.00 90.00 90.00
Fractional coordinates of all 5 atoms:
Ca: 0.0000 0.0000 0.5000
Ca: 0.0000 0.5000 0.0000
Ca: 0.5000 0.0000 0.0000
W: 0.0000 0.0000 0.0000
Au: 0.5000 0.5000 0.5000